# CoBCO2

A relaxed CoBCO2 crystal (PBE+U, the Alexandria database).

Values from the calculation:
SG: P4/mmm, No. 123
Fermi-level density of states in states/eV/atom: 0.29
Calculated total energy in eV per atom: -5.016

Lattice parameters (Å, degrees): 2.929 7.632 2.929 90.00 90.00 90.00
Site moments in Bohr magnetons follow the coordinates.
Element x y z (fractional)
C (0.000, 0.000, 0.000)  -0.04
B (0.500, 0.500, 0.500)  -0.04
Co (0.000, 0.500, 0.000)  1.80
O (0.000, 0.000, 0.500)  0.00
O (0.500, 0.000, 0.000)  -0.01